DFT (PBE) results for crystalline TlHg2Pd3 at its relaxed geometry.

a b c (Å): 3.878 4.393 6.884
angles (deg): 108.61 90.00 90.00
Element x y z (fractional)
Pd: 0.500 0.166 0.333
Pd: 0.500 0.500 0.000
Pd: 0.500 0.834 0.667
Hg: 0.000 0.331 0.662
Hg: 0.000 0.669 0.338
Tl: 0.000 0.000 0.000

Values from the calculation:
For the total energy, the calculation gives -3.2211 eV/atom. The calculation puts the total moment at 0.00 μB per cell. The calculation puts the formation enthalpy at 0 K at -130 meV/atom.

DFT (PBE) results for crystalline La2Tm4Sc at its relaxed geometry.

a b c (Å): 5.349 5.349 9.446
angles (deg): 106.45 106.45 90.00
Each line ends with the local moment (μB).
Element x y z (fractional)
Sc: 0.000 0.000 0.000  0.35
Tm: 0.500 0.000 0.000  0.17
Tm: 0.171 0.171 0.342  0.03
Tm: 0.000 0.500 0.000  0.17
Tm: 0.829 0.829 0.658  0.03
La: 0.371 0.371 0.743  0.01
La: 0.629 0.629 0.257  0.01

Values from the calculation:
The energy above the most stable polymorph in this dataset comes out at 348 meV/atom. For the total energy, the calculation gives -4.3376 eV/atom. The calculation puts the total moment at 0.75 μB per cell. The calculation puts the formation enthalpy at 0 K at 530 meV/atom.

DFT (PBE) results for crystalline Sc4In2Ge at its relaxed geometry.

a b c (Å): 5.020 5.020 8.072
angles (deg): 71.88 71.88 90.00
Element x y z (fractional)
Ge: 0.000 0.000 0.000
Sc: 0.000 0.500 0.000
Sc: 0.500 0.000 0.000
Sc: 0.820 0.820 0.360
Sc: 0.180 0.180 0.640
In: 0.621 0.621 0.758
In: 0.379 0.379 0.242

Values from the calculation:
For the total energy, the calculation gives -5.2924 eV/atom. The calculation puts the total moment at 0.00 μB per cell. The calculation puts the formation enthalpy at 0 K at -232 meV/atom.

Q: What is the formation enthalpy at 0 K in the first record?
A: -130 meV/atom

Q: What is the formation enthalpy at 0 K in the first record?
A: -130 meV/atom